Entry 1:
Computed, not measured: a geometry-optimized Na2HfBPt structure at the PBE level of DFT.

a = 6.102 Å, b = 4.775 Å, c = 6.102 Å
α = 90.00°, β = 90.00°, γ = 90.00°
Element x y z (fractional)
Na  0.000  0.000  0.500
B  0.500  0.500  0.500
Hf  0.000  0.000  0.000
Pt  0.000  0.500  0.000
Na  0.500  0.000  0.000

Calculated values
Calculated formation energy in eV per atom: 1.76
SG: No. 123
Raw total energy in eV for the cell shown: -16.51
Relative energy among the computed polymorphs in eV per formula unit: 5.78
Total magnetization in μB/f.u.: 0.000

Entry 2:
Computed, not measured: a geometry-optimized V2Zn2Co3 structure at the PBE level of DFT.

a = 4.035 Å, b = 4.024 Å, c = 6.805 Å
α = 90.01°, β = 107.28°, γ = 119.92°
Site moments in Bohr magnetons follow the coordinates.
Element x y z (fractional)
Co  0.471  0.735  0.208  -0.07
Co  0.000  0.000  0.000  0.63
Zn  0.736  0.868  0.602  -0.01
Co  0.529  0.265  0.792  -0.07
Zn  0.264  0.132  0.398  -0.01
V  0.768  0.384  0.154  0.09
V  0.232  0.616  0.846  0.09

Calculated values
Calculated formation energy in eV per atom: -0.10
SG: No. 12
Raw total energy in eV for the cell shown: -42.82
Total magnetization in μB/f.u.: 0.630

Entry 3:
Computed, not measured: a geometry-optimized Tl2HgSbPb4 structure at the PBE level of DFT.

a = 6.814 Å, b = 6.814 Å, c = 6.810 Å
α = 109.31°, β = 109.31°, γ = 109.82°
Element x y z (fractional)
Tl  0.571  0.071  0.500
Hg  0.587  0.587  0.000
Sb  0.988  0.988  0.000
Pb  0.550  0.091  0.000
Pb  0.549  0.549  0.458
Pb  0.091  0.091  0.542
Pb  0.091  0.550  0.000
Tl  0.071  0.571  0.500

Calculated values
SG: No. 42
Raw total energy in eV for the cell shown: -23.57
E_form (uncorrected) in eV per atom: 0.053
Total magnetization in μB/f.u.: 0.000

Entry 4:
Computed, not measured: a geometry-optimized Nb2HIrPt structure at the PBE level of DFT.

a = 5.091 Å, b = 3.087 Å, c = 5.091 Å
α = 90.00°, β = 90.00°, γ = 90.00°
Element x y z (fractional)
H  0.000  0.500  0.000
Nb  0.500  0.000  0.000
Pt  0.000  0.000  0.000
Ir  0.500  0.500  0.500
Nb  0.000  0.000  0.500

Calculated values
SG: No. 123
Raw total energy in eV for the cell shown: -36.16
Relative energy among the computed polymorphs in eV per formula unit: 4.56
Total magnetization in μB/f.u.: 0.000

Which of these has the lowest raw total energy? V2Zn2Co3

What is the raw total energy in the fourth record? -36.16 eV for the cell shown